1.
DFT (PBE) results for a geometry-optimized Pa3SiC structure.

Unit cell a=4.6980 b=4.6980 c=4.6980 alpha=90.00 beta=90.00 gamma=90.00
Closest atoms and distances in Å follow each position.
Sites, in units of the cell vectors:
Pa  0.0000  0.0000  0.5000  2 C 2.35
Pa  0.0000  0.5000  0.0000  2 C 2.35
Pa  0.5000  0.0000  0.0000  2 C 2.35
Si  0.5000  0.5000  0.5000  12 Pa 3.32
C  0.0000  0.0000  0.0000  6 Pa 2.35

Results
Energy relative to the elements, uncorrected: -0.28 eV/atom
Crystal system: cubic



2.
DFT (PBE) results for a geometry-optimized HfAg2PbW structure.

Unit cell a=5.0546 b=5.0546 c=5.5015 alpha=90.00 beta=90.00 gamma=90.00
Closest atoms and distances in Å follow each position.
Sites, in units of the cell vectors:
Hf  0.0000  0.0000  0.0000  2 Pb 2.75
Ag  0.0000  0.5000  0.5000  2 Pb 2.53
Ag  0.5000  0.0000  0.5000  2 Pb 2.53
Pb  0.0000  0.0000  0.5000  4 Ag 2.53, 2 Hf 2.75
W  0.5000  0.5000  0.0000  4 Hf 3.57, 8 Ag 3.74

Results
Crystal system: tetragonal
ΔH_f (0 K): 1.903 eV/atom



3.
DFT (PBE) results for a geometry-optimized Ti6O structure.

Unit cell a=5.1157 b=5.1157 c=9.4813 alpha=90.00 beta=90.00 gamma=120.00
Closest atoms and distances in Å follow each position.
Sites, in units of the cell vectors:
Ti  0.0039  0.3358  0.3810  1 O 2.10
Ti  0.0039  0.6681  0.1190  1 O 2.10
Ti  0.3319  0.3358  0.1190  1 O 2.10
Ti  0.3319  0.9961  0.3810  1 O 2.10
Ti  0.3358  0.0039  0.8810  1 O 2.10
Ti  0.3358  0.3319  0.6190  1 O 2.10
Ti  0.6642  0.6681  0.3810  1 O 2.10
Ti  0.6642  0.9961  0.1190  1 O 2.10
Ti  0.6681  0.0039  0.6190  1 O 2.10
Ti  0.6681  0.6642  0.8810  1 O 2.10
Ti  0.9961  0.3319  0.8810  1 O 2.10
Ti  0.9961  0.6642  0.6190  1 O 2.10
O  0.3333  0.6667  0.2500  6 Ti 2.10
O  0.6667  0.3333  0.7500  6 Ti 2.10

Results
Energy relative to the elements, uncorrected: -0.82 eV/atom
Crystal system: trigonal
Offset from the most stable computed form: 0.000 eV/f.u.



4.
DFT (PBE) results for a geometry-optimized Hf2Tl2Zn structure.

Unit cell a=7.1236 b=7.1236 c=4.3491 alpha=90.00 beta=90.00 gamma=90.00
Closest atoms and distances in Å follow each position.
Sites, in units of the cell vectors:
Hf  0.1677  0.3323  0.0000  6 Tl 2.90-3.10
Hf  0.3323  0.8323  0.0000  6 Tl 2.90-3.10
Hf  0.6677  0.1677  0.0000  6 Tl 2.90-3.10
Hf  0.8323  0.6677  0.0000  6 Tl 2.90-3.10
Tl  0.1423  0.6423  0.5000  2 Zn 2.74, 1 Tl 2.87, 2 Hf 2.90
Tl  0.3577  0.1423  0.5000  2 Zn 2.74, 1 Tl 2.87, 2 Hf 2.90
Tl  0.6423  0.8577  0.5000  2 Zn 2.74, 1 Tl 2.87, 2 Hf 2.90
Tl  0.8577  0.3577  0.5000  2 Zn 2.74, 1 Tl 2.87, 2 Hf 2.90
Zn  0.0000  0.0000  0.5000  4 Tl 2.74
Zn  0.5000  0.5000  0.5000  4 Tl 2.74

Results
Crystal system: tetragonal
Offset from the most stable computed form: 0.316 eV/f.u.
ΔH_f (0 K): 0.295 eV/atom



5.
DFT (PBE) results for a geometry-optimized MnCu2HgSe4 structure.

Unit cell a=5.7514 b=5.7514 c=11.3434 alpha=90.00 beta=90.00 gamma=90.00
Closest atoms and distances in Å follow each position.
Sites, in units of the cell vectors:
Mn  0.0000  0.0000  0.0000  4 Se 2.40
Mn  0.5000  0.5000  0.5000  4 Se 2.40
Cu  0.0000  0.5000  0.2500  4 Se 2.41
Cu  0.0000  0.5000  0.7500  4 Se 2.41
Cu  0.5000  0.0000  0.2500  4 Se 2.41
Cu  0.5000  0.0000  0.7500  4 Se 2.41
Hg  0.0000  0.0000  0.5000  4 Se 2.72
Hg  0.5000  0.5000  0.0000  4 Se 2.72
Se  0.2256  0.2256  0.1367  1 Mn 2.40, 2 Cu 2.41
Se  0.2256  0.7744  0.8633  1 Mn 2.40, 2 Cu 2.41
Se  0.2744  0.2744  0.6367  1 Mn 2.40, 2 Cu 2.41
Se  0.2744  0.7256  0.3633  1 Mn 2.40, 2 Cu 2.41
Se  0.7256  0.2744  0.3633  1 Mn 2.40, 2 Cu 2.41
Se  0.7256  0.7256  0.6367  1 Mn 2.40, 2 Cu 2.41
Se  0.7744  0.2256  0.8633  1 Mn 2.40, 2 Cu 2.41
Se  0.7744  0.7744  0.1367  1 Mn 2.40, 2 Cu 2.41

Results
Energy relative to the elements, uncorrected: -0.24 eV/atom
Crystal system: tetragonal



6.
DFT (PBE) results for a geometry-optimized BeRhSeN2 structure.

Unit cell a=3.7219 b=3.7219 c=5.6149 alpha=90.00 beta=90.00 gamma=90.00
Closest atoms and distances in Å follow each position.
Sites, in units of the cell vectors:
Be  0.0000  0.0000  0.0000  4 Se 2.63
Rh  0.5000  0.5000  0.5000  4 N 1.86
Se  0.5000  0.5000  0.0000  4 Be 2.63, 2 Rh 2.81
N  0.0000  0.5000  0.5000  2 Rh 1.86
N  0.5000  0.0000  0.5000  2 Rh 1.86

Results
Energy relative to the elements, uncorrected: 1.12 eV/atom
Crystal system: tetragonal
Offset from the most stable computed form: 0.000 eV/f.u.



7.
DFT (PBE) results for a geometry-optimized Ce2PrLu structure.

Unit cell a=3.3825 b=3.3825 c=36.8959 alpha=90.00 beta=90.00 gamma=120.00
Closest atoms and distances in Å follow each position.
Sites, in units of the cell vectors:
Ce  0.0000  0.0000  0.0884  1 Pr 3.26, 6 Ce 3.38, 3 Lu 3.49
Ce  0.0000  0.0000  0.9116  1 Pr 3.26, 6 Ce 3.38, 3 Lu 3.49
Ce  0.3333  0.6667  0.5783  1 Pr 3.26, 6 Ce 3.38, 3 Lu 3.49
Ce  0.3333  0.6667  0.7550  1 Pr 3.26, 6 Ce 3.38, 3 Lu 3.49
Ce  0.6667  0.3333  0.2450  1 Pr 3.26, 6 Ce 3.38, 3 Lu 3.49
Ce  0.6667  0.3333  0.4217  1 Pr 3.26, 6 Ce 3.38, 3 Lu 3.49
Pr  0.0000  0.0000  0.0000  2 Ce 3.26, 6 Pr 3.38
Pr  0.3333  0.6667  0.6667  2 Ce 3.26, 6 Pr 3.38
Pr  0.6667  0.3333  0.3333  2 Ce 3.26, 6 Pr 3.38
Lu  0.0000  0.0000  0.5000  6 Lu 3.38, 6 Ce 3.49
Lu  0.3333  0.6667  0.1667  6 Lu 3.38, 6 Ce 3.49
Lu  0.6667  0.3333  0.8333  6 Lu 3.38, 6 Ce 3.49

Results
Crystal system: trigonal
Offset from the most stable computed form: 0.431 eV/f.u.
ΔH_f (0 K): 0.215 eV/atom



8.
DFT (PBE) results for a geometry-optimized YCoOs structure.

Unit cell a=5.1170 b=5.2704 c=7.4719 alpha=90.00 beta=90.00 gamma=90.00
Closest atoms and distances in Å follow each position.
Sites, in units of the cell vectors:
Y  0.0000  0.2500  0.1226  6 Co 3.02-3.11, 6 Os 3.06-3.08, 4 Y 3.19-3.21
Y  0.0000  0.7500  0.8774  6 Co 3.02-3.11, 6 Os 3.06-3.08, 4 Y 3.19-3.21
Y  0.5000  0.2500  0.3774  6 Co 3.02-3.11, 6 Os 3.06-3.08, 4 Y 3.19-3.21
Y  0.5000  0.7500  0.6226  6 Co 3.02-3.11, 6 Os 3.06-3.08, 4 Y 3.19-3.21
Co  0.0000  0.0000  0.5000  4 Os 2.62, 2 Co 2.64
Co  0.0000  0.5000  0.5000  4 Os 2.62, 2 Co 2.64
Co  0.5000  0.0000  0.0000  4 Os 2.62, 2 Co 2.64
Co  0.5000  0.5000  0.0000  4 Os 2.62, 2 Co 2.64
Os  0.2500  0.2500  0.7500  2 Os 2.56, 4 Co 2.62
Os  0.2500  0.7500  0.2500  2 Os 2.56, 4 Co 2.62
Os  0.7500  0.2500  0.7500  2 Os 2.56, 4 Co 2.62
Os  0.7500  0.7500  0.2500  2 Os 2.56, 4 Co 2.62

Results
Crystal system: orthorhombic
Offset from the most stable computed form: 0.000 eV/f.u.
ΔH_f (0 K): -0.251 eV/atom



9.
DFT (PBE) results for a geometry-optimized ErHfSc2Sb4 structure.

Unit cell a=7.2419 b=4.1919 c=7.2641 alpha=90.00 beta=109.34 gamma=90.00
Closest atoms and distances in Å follow each position.
Sites, in units of the cell vectors:
Er  0.0000  0.0000  0.0000  6 Sb 3.01-3.02
Hf  0.0000  0.5000  0.5000  6 Sb 2.95
Sc  0.5000  0.0000  0.5000  6 Sb 2.91
Sc  0.5000  0.5000  0.0000  6 Sb 2.97-2.98
Sb  0.2522  0.0000  0.7435  3 Sc 2.91-2.98, 2 Hf 2.95, 1 Er 3.01
Sb  0.2575  0.5000  0.2599  3 Sc 2.91-2.97, 1 Hf 2.95, 2 Er 3.02
Sb  0.7425  0.5000  0.7401  3 Sc 2.91-2.97, 1 Hf 2.95, 2 Er 3.02
Sb  0.7478  0.0000  0.2565  3 Sc 2.91-2.98, 2 Hf 2.95, 1 Er 3.01

Results
Energy relative to the elements, uncorrected: -0.84 eV/atom
Crystal system: monoclinic



10.
DFT (PBE) results for a geometry-optimized CePrPt2 structure.

Unit cell a=7.2105 b=7.2105 c=7.2105 alpha=90.00 beta=90.00 gamma=90.00
Closest atoms and distances in Å follow each position.
Sites, in units of the cell vectors:
Ce  0.0000  0.0000  0.0000  8 Pt 3.12
Ce  0.0000  0.5000  0.5000  8 Pt 3.12
Ce  0.5000  0.0000  0.5000  8 Pt 3.12
Ce  0.5000  0.5000  0.0000  8 Pt 3.12
Pr  0.0000  0.0000  0.5000  8 Pt 3.12
Pr  0.0000  0.5000  0.0000  8 Pt 3.12
Pr  0.5000  0.0000  0.0000  8 Pt 3.12
Pr  0.5000  0.5000  0.5000  8 Pt 3.12
Pt  0.2500  0.2500  0.2500  4 Ce 3.12, 4 Pr 3.12
Pt  0.2500  0.2500  0.7500  4 Ce 3.12, 4 Pr 3.12
Pt  0.2500  0.7500  0.2500  4 Ce 3.12, 4 Pr 3.12
Pt  0.2500  0.7500  0.7500  4 Ce 3.12, 4 Pr 3.12
Pt  0.7500  0.2500  0.2500  4 Ce 3.12, 4 Pr 3.12
Pt  0.7500  0.2500  0.7500  4 Ce 3.12, 4 Pr 3.12
Pt  0.7500  0.7500  0.2500  4 Ce 3.12, 4 Pr 3.12
Pt  0.7500  0.7500  0.7500  4 Ce 3.12, 4 Pr 3.12

Results
Crystal system: cubic
Offset from the most stable computed form: 0.506 eV/f.u.
ΔH_f (0 K): -0.973 eV/atom



11.
DFT (PBE) results for a geometry-optimized Li2InPb structure.

Unit cell a=6.9520 b=6.9520 c=6.9520 alpha=90.00 beta=90.00 gamma=90.00
Closest atoms and distances in Å follow each position.
Sites, in units of the cell vectors:
Li  0.2500  0.2500  0.2500  4 In 3.01, 4 Pb 3.01
Li  0.2500  0.2500  0.7500  4 In 3.01, 4 Pb 3.01
Li  0.2500  0.7500  0.2500  4 In 3.01, 4 Pb 3.01
Li  0.2500  0.7500  0.7500  4 In 3.01, 4 Pb 3.01
Li  0.7500  0.2500  0.2500  4 In 3.01, 4 Pb 3.01
Li  0.7500  0.2500  0.7500  4 In 3.01, 4 Pb 3.01
Li  0.7500  0.7500  0.2500  4 In 3.01, 4 Pb 3.01
Li  0.7500  0.7500  0.7500  4 In 3.01, 4 Pb 3.01
In  0.0000  0.0000  0.0000  8 Li 3.01
In  0.0000  0.5000  0.5000  8 Li 3.01
In  0.5000  0.0000  0.5000  8 Li 3.01
In  0.5000  0.5000  0.0000  8 Li 3.01
Pb  0.0000  0.0000  0.5000  8 Li 3.01
Pb  0.0000  0.5000  0.0000  8 Li 3.01
Pb  0.5000  0.0000  0.0000  8 Li 3.01
Pb  0.5000  0.5000  0.5000  8 Li 3.01

Results
Crystal system: cubic
Offset from the most stable computed form: 0.059 eV/f.u.
ΔH_f (0 K): -0.262 eV/atom



12.
DFT (PBE) results for a geometry-optimized ScAl2Co structure.

Unit cell a=3.7750 b=3.7750 c=19.1554 alpha=90.00 beta=90.00 gamma=90.00
Closest atoms and distances in Å follow each position.
Sites, in units of the cell vectors:
Sc  0.0000  0.0000  0.0000  4 Co 2.67, 4 Al 2.76
Sc  0.0000  0.5000  0.2500  4 Co 2.67, 4 Al 2.76
Sc  0.5000  0.0000  0.7500  4 Co 2.67, 4 Al 2.76
Sc  0.5000  0.5000  0.5000  4 Co 2.67, 4 Al 2.76
Al  0.2353  0.2500  0.6250  4 Al 2.59-2.75, 2 Co 2.72, 2 Sc 2.76
Al  0.2500  0.7353  0.8750  4 Al 2.59-2.75, 2 Co 2.72, 2 Sc 2.76
Al  0.2500  0.7647  0.3750  4 Al 2.59-2.75, 2 Co 2.72, 2 Sc 2.76
Al  0.2647  0.2500  0.1250  4 Al 2.59-2.75, 2 Co 2.72, 2 Sc 2.76
Al  0.7353  0.7500  0.1250  4 Al 2.59-2.75, 2 Co 2.72, 2 Sc 2.76
Al  0.7500  0.2353  0.3750  4 Al 2.59-2.75, 2 Co 2.72, 2 Sc 2.76
Al  0.7500  0.2647  0.8750  4 Al 2.59-2.75, 2 Co 2.72, 2 Sc 2.76
Al  0.7647  0.7500  0.6250  4 Al 2.59-2.75, 2 Co 2.72, 2 Sc 2.76
Co  0.0000  0.0000  0.5000  4 Sc 2.67, 4 Al 2.72
Co  0.0000  0.5000  0.7500  4 Sc 2.67, 4 Al 2.72
Co  0.5000  0.0000  0.2500  4 Sc 2.67, 4 Al 2.72
Co  0.5000  0.5000  0.0000  4 Sc 2.67, 4 Al 2.72

Results
Crystal system: tetragonal
ΔH_f (0 K): 0.053 eV/atom



Number 1: DOS(E_F) 1.052 states/eV/atom. Number 2: DOS(E_F) 0.951 states/eV/atom. Number 3: DOS(E_F) 0.548 states/eV/atom. Number 4: DOS(E_F) 0.587 states/eV/atom. Number 5: DOS(E_F) 0.365 states/eV/atom. Number 6: DOS(E_F) 0.489 states/eV/atom. Number 7: DOS(E_F) 2.478 states/eV/atom. Number 8: DOS(E_F) 1.106 states/eV/atom. Number 9: DOS(E_F) 0.184 states/eV/atom. Number 10: DOS(E_F) 2.106 states/eV/atom. Number 11: DOS(E_F) 0.455 states/eV/atom. Number 12: DOS(E_F) 0.767 states/eV/atom.